# ScAl2Ru

A geometry-optimized ScAl2Ru structure (PBE, the Alexandria database).

Unit cell a=3.500 b=4.210 c=4.348 alpha=90.00 beta=90.00 gamma=90.00
Element x y z (fractional)
Al: 0.500 0.500 0.000
Al: 0.000 0.000 0.000
Ru: 0.500 0.000 0.500
Sc: 0.000 0.500 0.500

Summary:
- energy of formation from the pure elements (eV per atom) = -0.49
- D(E_F) (states/eV per atom) = 0.4178


# BaBe2Cu

A geometry-optimized BaBe2Cu structure (PBE, the Alexandria database).

Unit cell a=3.959 b=3.959 c=5.903 alpha=81.24 beta=81.24 gamma=60.11
Element x y z (fractional)
Be: 0.927 0.927 0.226
Be: 0.252 0.252 0.248
Cu: 0.577 0.577 0.277
Ba: 0.744 0.744 0.748

Summary:
- energy of formation from the pure elements (eV per atom) = 0.11
- D(E_F) (states/eV per atom) = 0.6155


# LiPmI3

A geometry-optimized LiPmI3 structure (PBE, the Alexandria database).

Unit cell a=7.802 b=7.416 c=8.789 alpha=61.24 beta=61.85 gamma=57.94
Element x y z (fractional)
I: 0.568 0.904 0.296
I: 0.432 0.096 0.704
I: 0.233 0.584 0.238
I: 0.073 0.753 0.742
I: 0.927 0.247 0.258
I: 0.767 0.416 0.762
Pm: 0.636 0.711 0.014
Pm: 0.364 0.289 0.986
Li: 0.847 0.836 0.482
Li: 0.153 0.164 0.518

Summary:
- D(E_F) (states/eV per atom) = 0.1378
- uncorrected formation energy (meV/atom) = -1173


# Dy2TmRe

A geometry-optimized Dy2TmRe structure (PBE, the Alexandria database).

Unit cell a=3.211 b=3.211 c=11.409 alpha=81.91 beta=81.91 gamma=60.00
Element x y z (fractional)
Dy: 0.080 0.080 0.761
Dy: 0.920 0.920 0.239
Tm: 0.500 0.500 0.500
Re: 0.000 0.000 0.000

Summary:
- energy of formation from the pure elements (eV per atom) = 0.78
- D(E_F) (states/eV per atom) = 1.4685


# Ca2Cd16Ag

A geometry-optimized Ca2Cd16Ag structure (PBE, the Alexandria database).

Unit cell a=7.707 b=7.707 c=7.707 alpha=82.13 beta=82.13 gamma=82.13
Element x y z (fractional)
Cd: 0.000 0.701 0.296
Cd: 0.347 0.872 0.347
Cd: 0.296 0.701 0.000
Cd: 0.975 0.532 0.975
Cd: 0.193 0.627 0.627
Cd: 0.975 0.975 0.532
Cd: 0.872 0.347 0.347
Cd: 0.347 0.347 0.872
Cd: 0.701 0.000 0.296
Cd: 0.532 0.975 0.975
Cd: 0.627 0.193 0.627
Cd: 0.701 0.296 0.000
Cd: 0.627 0.627 0.193
Cd: 0.000 0.296 0.701
Cd: 0.106 0.106 0.106
Cd: 0.296 0.000 0.701
Ca: 0.331 0.331 0.331
Ca: 0.662 0.662 0.662
Ag: 0.912 0.912 0.912

Summary:
- energy of formation from the pure elements (eV per atom) = -0.12
- D(E_F) (states/eV per atom) = 0.2901


# TiOsC2

A geometry-optimized TiOsC2 structure (PBE, the Alexandria database).

Unit cell a=4.592 b=4.592 c=5.812 alpha=66.73 beta=66.73 gamma=90.00
Element x y z (fractional)
C: 0.875 0.899 0.750
C: 0.101 0.625 0.250
C: 0.649 0.125 0.250
C: 0.375 0.351 0.750
Os: 0.000 0.000 0.000
Os: 0.750 0.250 0.500
Ti: 0.500 0.500 0.000
Ti: 0.250 0.750 0.500

Summary:
- energy of formation from the pure elements (eV per atom) = 0.27
- D(E_F) (states/eV per atom) = 0.7624


# NiHgBr

A geometry-optimized NiHgBr structure (PBE, the Alexandria database).

Unit cell a=6.642 b=6.642 c=6.642 alpha=151.84 beta=151.84 gamma=40.25
Element x y z (fractional)
Br: 0.046 0.046 0.000
Hg: 0.295 0.295 0.000
Ni: 0.659 0.659 0.000

Summary:
- D(E_F) (states/eV per atom) = 1.3876
- uncorrected formation energy (meV/atom) = 286


# PmSmTl6

A geometry-optimized PmSmTl6 structure (PBE, the Alexandria database).

Unit cell a=4.814 b=4.814 c=9.624 alpha=90.00 beta=90.00 gamma=90.00
Element x y z (fractional)
Tl: 0.500 0.000 0.249
Tl: 0.500 0.000 0.751
Tl: 0.500 0.500 0.500
Tl: 0.000 0.500 0.249
Tl: 0.000 0.500 0.751
Tl: 0.500 0.500 0.000
Sm: 0.000 0.000 0.000
Pm: 0.000 0.000 0.500

Summary:
- energy of formation from the pure elements (eV per atom) = -0.30
- D(E_F) (states/eV per atom) = 0.3811


# DyTl2

A geometry-optimized DyTl2 structure (PBE, the Alexandria database).

Unit cell a=6.198 b=6.198 c=6.198 alpha=60.00 beta=60.00 gamma=60.00
Element x y z (fractional)
Tl: 0.625 0.625 0.625
Tl: 0.125 0.625 0.625
Tl: 0.625 0.125 0.625
Tl: 0.625 0.625 0.125
Dy: 0.000 0.000 0.000
Dy: 0.250 0.250 0.250

Summary:
- energy of formation from the pure elements (eV per atom) = -0.02
- D(E_F) (states/eV per atom) = 0.7299